A geometry-optimized Ag2SbTeSe4 structure, computed with GGA-PBE.

Computed properties:
ΔE_f (raw) (eV/atom): -0.08
Spin magnetization (μB per cell): 0.00
Density of states at the Fermi level (states/eV per cell): 5.90
DFT total energy (Ry per atom): -0.25281

Unit cell a=8.1252 b=8.1252 c=8.1622 alpha=119.00 beta=119.00 gamma=89.57
Sites, in units of the cell vectors:
Ag: 0.0000 0.0000 0.0000
Ag: 0.0000 0.0000 0.5000
Ag: 0.0000 0.5000 0.0000
Ag: 0.5000 0.0000 0.5000
Sb: 0.5000 0.5000 0.0000
Sb: 0.5000 0.5000 0.5000
Te: 0.0000 0.5000 0.5000
Te: 0.5000 0.0000 0.0000
Se: 0.2156 0.7226 0.4479
Se: 0.2500 0.2544 0.5108
Se: 0.2544 0.2500 0.0108
Se: 0.2774 0.7844 0.0521
Se: 0.7226 0.2156 0.9479
Se: 0.7456 0.7500 0.9892
Se: 0.7500 0.7456 0.4892
Se: 0.7844 0.2774 0.5521